[1]
# Tl2Zn2Hg

Tl2Zn2Hg after structural relaxation (PBE, Alexandria via LeMat-Bulk).

Properties
Size of the total moment, μB/f.u.: 0.00
Calculated formation energy, eV per atom: 0.123
ΔE to the lowest computed polymorph, meV/atom: 32
DOS(E_F), states/eV per cell: 5.94

Unit cell a=3.611 b=3.611 c=19.427 alpha=90.00 beta=90.00 gamma=90.00
Space group I4/mmm (No. 139)
Symmetry-distinct sites (fractional):
Tl 0.000 0.000 0.112 x4
Zn 0.000 0.500 0.250 x4
Hg 0.000 0.000 0.500 x2

=====

[2]
# TlZn2Hg

TlZn2Hg after structural relaxation (PBE, Alexandria via LeMat-Bulk).

Properties
Size of the total moment, μB/f.u.: 0.00
Calculated formation energy, eV per atom: 0.163
ΔE to the lowest computed polymorph, meV/atom: 45
DOS(E_F), states/eV per cell: 2.80

Unit cell a=4.281 b=5.110 c=8.252 alpha=90.00 beta=90.00 gamma=90.00
Space group Cmmm (No. 65)
Symmetry-distinct sites (fractional):
Tl 0.000 0.000 0.000 x2
Zn 0.000 0.500 0.271 x4
Hg 0.000 0.000 0.500 x2

=====

[3]
# Tl2ZnHg2

Tl2ZnHg2 after structural relaxation (PBE, Alexandria via LeMat-Bulk).

Properties
Size of the total moment, μB/f.u.: 0.00
Calculated formation energy, eV per atom: 0.082
ΔE to the lowest computed polymorph, meV/atom: 46
DOS(E_F), states/eV per cell: 3.51

Unit cell a=7.341 b=7.341 c=5.081 alpha=90.00 beta=90.00 gamma=90.00
Space group P4/mbm (No. 127)
Symmetry-distinct sites (fractional):
Tl 0.167 0.333 0.000 x4
Zn 0.000 0.000 0.500 x2
Hg 0.148 0.648 0.500 x4

=====

[4]
# TlZn2Hg

TlZn2Hg after structural relaxation (PBE, Alexandria via LeMat-Bulk).

Properties
Size of the total moment, μB/f.u.: 0.00
Calculated formation energy, eV per atom: 0.120
ΔE to the lowest computed polymorph, meV/atom: 2
DOS(E_F), states/eV per cell: 1.92

Unit cell a=3.327 b=3.327 c=8.122 alpha=90.00 beta=90.00 gamma=90.00
Space group P4mm (No. 99)
Symmetry-distinct sites (fractional):
Tl 0.000 0.000 0.000 x1
Zn 0.000 0.000 0.444 x1
Zn 0.500 0.500 0.278 x1
Hg 0.500 0.500 0.683 x1